ZnIn2Ga (PBE-GGA, relaxed); electronic total energy = -2.323 eV per atom
1.0
0.000 3.562 3.562
3.562 0.000 3.562
3.562 3.562 0.000
Zn In Ga
1 2 1
Cartesian
3.562 3.562 3.562
0.000 0.000 0.000
1.781 1.781 1.781
5.343 5.343 5.343